(1)
This record from Alexandria describes a geometry-optimized Cr3ReW structure. The functional is GGA-PBE.

abc: 4.5388 4.9022 6.4724
angles: 90.00 107.80 90.00
Space group P2_1/m (No. 11)
Inequivalent atoms, fractional coordinates:
Cr1 0.0198 0.2500 0.2369 (multiplicity 2)
Cr2 0.3054 0.5095 0.6050 (multiplicity 4)
Re1 0.1930 0.7500 0.2184 (multiplicity 2)
W1 0.3823 0.2500 0.0055 (multiplicity 2)

Output
As for the energy above the lowest structure with this stoichiometry: 0 meV/atom. As for the calculated formation energy: 32.5 kJ/mol of atoms.

---

(2)
This record from Alexandria describes a geometry-optimized Tl2Re structure. The functional is GGA-PBE.

abc: 15.4472 2.9749 6.5486
angles: 90.00 101.45 90.00
Space group C2/m (No. 12)
Inequivalent atoms, fractional coordinates:
Tl1 0.1050 0.0000 0.1269 (multiplicity 4)
Tl2 0.1954 0.0000 0.6860 (multiplicity 4)
Re1 0.0258 0.5000 0.6735 (multiplicity 4)

Output
As for the energy above the lowest structure with this stoichiometry: 199 meV/atom. As for the calculated formation energy: 73.8 kJ/mol of atoms.

---

(3)
This record from Alexandria describes a geometry-optimized La2YOs structure. The functional is GGA-PBE.

abc: 4.1483 12.1962 9.3331
angles: 90.00 90.00 90.00
Space group Cmcm (No. 63)
Inequivalent atoms, fractional coordinates:
La1 0.0000 0.1420 0.0691 (multiplicity 8)
Y1 0.0000 0.4200 0.2500 (multiplicity 4)
Os1 0.0000 0.2405 0.7500 (multiplicity 4)

Output
As for the energy above the lowest structure with this stoichiometry: 27 meV/atom. As for the calculated formation energy: -12.9 kJ/mol of atoms.

---

(4)
This record from Alexandria describes a geometry-optimized NaLaGe2 structure. The functional is GGA-PBE.

abc: 6.8886 4.5417 13.4406
angles: 90.00 90.00 90.00
Space group Pnma (No. 62)
Inequivalent atoms, fractional coordinates:
Na1 0.2291 0.2500 0.0314 (multiplicity 4)
La1 0.2163 0.2500 0.3049 (multiplicity 4)
Ge1 0.0298 0.7500 0.1605 (multiplicity 4)
Ge2 0.0950 0.2500 0.6572 (multiplicity 4)

Output
As for the energy above the lowest structure with this stoichiometry: 0 meV/atom. As for the calculated formation energy: -51.0 kJ/mol of atoms.

---

(5)
This record from Alexandria describes a geometry-optimized Ho5Zn2Cu2 structure. The functional is GGA-PBE.

abc: 16.3889 7.0706 7.2635
angles: 90.00 90.00 90.00
Space group Cmce (No. 64)
Inequivalent atoms, fractional coordinates:
Ho1 0.0000 0.0000 0.0000 (multiplicity 4)
Ho2 0.1374 0.1849 0.3205 (multiplicity 16)
Zn1 0.2223 0.0000 0.0000 (multiplicity 8)
Cu1 0.0000 0.1162 0.6232 (multiplicity 8)

Output
As for the calculated formation energy: -18.6 kJ/mol of atoms.

---

(6)
This record from Alexandria describes a geometry-optimized SrY2Ru structure. The functional is GGA-PBE.

abc: 3.6908 4.2930 16.4374
angles: 90.00 90.00 90.00
Space group Amm2 (No. 38)
Inequivalent atoms, fractional coordinates:
Sr1 0.0000 0.0000 0.0000 (multiplicity 2)
Y1 0.0000 0.0000 0.6874 (multiplicity 2)
Y2 0.5000 0.0000 0.3231 (multiplicity 2)
Ru1 0.5000 0.0000 0.1654 (multiplicity 2)

Output
As for the energy above the lowest structure with this stoichiometry: 147 meV/atom. As for the calculated formation energy: -0.9 kJ/mol of atoms.

---

(7)
This record from Alexandria describes a geometry-optimized LiTmZnCo structure. The functional is GGA-PBE.

abc: 6.3333 6.3333 6.3333
angles: 90.00 90.00 90.00
Space group F-43m (No. 216)
Inequivalent atoms, fractional coordinates:
Li1 0.0000 0.0000 0.0000 (multiplicity 4)
Tm1 0.2500 0.2500 0.2500 (multiplicity 4)
Zn1 0.2500 0.2500 0.7500 (multiplicity 4)
Co1 0.0000 0.0000 0.5000 (multiplicity 4)

Output
As for the calculated formation energy: -8.8 kJ/mol of atoms.

---

(8)
This record from Alexandria describes a geometry-optimized Sc2TlMo structure. The functional is GGA-PBE.

abc: 3.6701 3.6701 6.2037
angles: 90.00 90.00 90.00
Space group P4mm (No. 99)
Inequivalent atoms, fractional coordinates:
Sc1 0.0000 0.0000 0.0000 (multiplicity 1)
Sc2 0.5000 0.5000 0.2827 (multiplicity 1)
Tl1 0.0000 0.0000 0.5387 (multiplicity 1)
Mo1 0.5000 0.5000 0.8122 (multiplicity 1)

Output
As for the energy above the lowest structure with this stoichiometry: 211 meV/atom. As for the calculated formation energy: 14.3 kJ/mol of atoms.

---

(9)
This record from Alexandria describes a geometry-optimized RhSe structure. The functional is GGA-PBE.

abc: 11.7905 4.1367 4.7717
angles: 90.00 90.00 90.00
Space group Pmn2_1 (No. 31)
Inequivalent atoms, fractional coordinates:
Rh1 0.0000 0.1396 0.0000 (multiplicity 2)
Rh2 0.1946 0.3604 0.7173 (multiplicity 4)
Se1 0.0000 0.6339 0.7507 (multiplicity 2)
Se2 0.1809 0.1511 0.2362 (multiplicity 4)

Output
For the total energy, the calculation gives -68.353 eV/cell.

---

(10)
This record from Alexandria describes a geometry-optimized Sm4ZnAu structure. The functional is GGA-PBE.

abc: 5.0458 5.0458 7.1841
angles: 90.00 90.00 90.00
Space group P4/mmm (No. 123)
Inequivalent atoms, fractional coordinates:
Sm1 0.0000 0.5000 0.2486 (multiplicity 4)
Zn1 0.0000 0.0000 0.0000 (multiplicity 1)
Au1 0.5000 0.5000 0.5000 (multiplicity 1)

Output
As for the calculated formation energy: -17.8 kJ/mol of atoms.

---

(11)
This record from Alexandria describes a geometry-optimized Rb2NaC structure. The functional is GGA-PBE.

abc: 12.1041 12.1041 5.0050
angles: 90.00 90.00 90.00
Space group I-42d (No. 122)
Inequivalent atoms, fractional coordinates:
Rb1 0.0599 0.2500 0.1250 (multiplicity 8)
Na1 0.0000 0.0000 0.5000 (multiplicity 4)
C1 0.0000 0.0000 0.0000 (multiplicity 4)

Output
As for the calculated formation energy: 100.7 kJ/mol of atoms.

---

(12)
This record from Alexandria describes a geometry-optimized SmTh2RhN4 structure. The functional is GGA-PBE.

abc: 3.4862 12.0977 12.0520
angles: 90.00 90.00 90.00
Space group Cmcm (No. 63)
Inequivalent atoms, fractional coordinates:
Sm1 0.0000 0.1132 0.2500 (multiplicity 4)
Th1 0.0000 0.3701 0.0565 (multiplicity 8)
Rh1 0.0000 0.1492 0.7500 (multiplicity 4)
N1 0.0000 0.0000 0.0000 (multiplicity 4)
N2 0.0000 0.2765 0.6208 (multiplicity 8)
N3 0.0000 0.4610 0.2500 (multiplicity 4)

Output
For the total energy, the calculation gives -275.818 eV/cell.

---

Question: Which formula does entry 6 have?
Answer: SrY2Ru